1.
Compound: Th3GaSn2
Source: Alexandria via LeMat-Bulk
Functional: PBE-GGA
Structure: relaxed

abc: 4.432 12.192 12.831
angles: 90.00 90.00 90.00
Fractional positions:
Th  0.750  0.617  0.952
Th  0.750  0.557  0.617
Th  0.750  0.282  0.774
Th  0.750  0.943  0.117
Th  0.250  0.117  0.548
Th  0.250  0.443  0.383
Th  0.750  0.883  0.452
Th  0.750  0.218  0.274
Th  0.250  0.383  0.048
Th  0.250  0.057  0.883
Th  0.250  0.718  0.226
Th  0.250  0.782  0.726
Sn  0.750  0.302  0.509
Sn  0.750  0.198  0.009
Sn  0.250  0.802  0.991
Sn  0.250  0.698  0.491
Sn  0.250  0.000  0.308
Sn  0.750  0.000  0.692
Sn  0.250  0.500  0.808
Sn  0.750  0.500  0.192
Ga  0.750  0.870  0.873
Ga  0.250  0.370  0.627
Ga  0.250  0.130  0.127
Ga  0.750  0.630  0.373

The total energy is -6.029 eV/atom. Its symmetry is No. 62. As for the energy of formation: -0.4808 eV/atom. The calculation puts the calculated volume at 28.89 A^3/atom.

---

2.
Compound: Th4GaSn
Source: Alexandria via LeMat-Bulk
Functional: PBE-GGA
Structure: relaxed

abc: 6.142 7.591 7.591
angles: 90.00 90.00 90.00
Fractional positions:
Th  0.500  0.835  0.650
Th  0.000  0.165  0.650
Th  0.000  0.835  0.350
Th  0.000  0.350  0.165
Th  0.500  0.350  0.835
Th  0.500  0.650  0.165
Th  0.500  0.165  0.350
Th  0.000  0.650  0.835
Sn  0.750  0.000  0.000
Sn  0.250  0.000  0.000
Ga  0.250  0.500  0.500
Ga  0.750  0.500  0.500

The total energy is -6.513 eV/atom. Its symmetry is No. 124. The offset from the most stable computed form comes out at 0.000 eV per atom. As for the energy of formation: -0.3943 eV/atom. The calculation puts the calculated volume at 29.49 A^3/atom.

---

3.
Compound: TmThGaSn
Source: Alexandria via LeMat-Bulk
Functional: PBE-GGA
Structure: relaxed

abc: 5.277 5.277 5.277
angles: 60.00 60.00 60.00
Fractional positions:
Tm  0.250  0.250  0.250
Sn  0.500  0.500  0.500
Th  0.750  0.750  0.750
Ga  0.000  0.000  0.000

The total energy is -5.159 eV/atom. Its symmetry is No. 216. As for the energy of formation: -0.4285 eV/atom. The calculation puts the calculated volume at 25.97 A^3/atom.

---

4.
Compound: TiGaSn
Source: Alexandria via LeMat-Bulk
Functional: PBE-GGA
Structure: relaxed

abc: 2.957 2.957 7.443
angles: 101.46 101.46 90.00
Fractional positions:
Sn  0.264  0.264  0.528
Ti  0.603  0.603  0.207
Ga  0.983  0.983  0.965

The total energy is -5.029 eV/atom. Its symmetry is No. 107. The offset from the most stable computed form comes out at 0.000 eV per atom. As for the energy of formation: -0.0539 eV/atom. The calculation puts the calculated volume at 20.82 A^3/atom.

---

5.
Compound: Ti8Ga3Sn2
Source: Alexandria via LeMat-Bulk
Functional: PBE-GGA
Structure: relaxed

abc: 4.124 8.715 8.259
angles: 121.84 89.99 90.00
Fractional positions:
Ti  0.500  0.117  0.754
Ti  0.500  0.883  0.246
Ti  0.500  0.637  0.754
Ti  0.000  0.398  0.796
Ti  0.000  0.129  0.258
Ti  0.500  0.363  0.246
Ti  0.000  0.871  0.742
Ti  0.000  0.602  0.204
Ga  0.000  0.241  0.000
Ga  0.500  0.000  0.000
Ga  0.000  0.759  0.000
Sn  0.500  0.737  0.474
Sn  0.500  0.263  0.526

The total energy is -6.242 eV/atom. Its symmetry is No. 65. As for the energy of formation: -0.0688 eV/atom. The calculation puts the calculated volume at 19.40 A^3/atom.

---

6.
Compound: Ti3GaSn
Source: Alexandria via LeMat-Bulk
Functional: PBE-GGA
Structure: relaxed

abc: 4.699 4.699 4.699
angles: 90.00 90.00 90.00
Fractional positions:
Sn  0.500  0.500  0.500
Ti  0.500  0.000  0.000
Ti  0.000  0.000  0.500
Ti  0.000  0.500  0.000
Ga  0.000  0.000  0.000

The total energy is -5.897 eV/atom. Its symmetry is No. 221. The offset from the most stable computed form comes out at 0.337 eV per atom. As for the energy of formation: 0.2456 eV/atom. The calculation puts the calculated volume at 20.75 A^3/atom.